#P
VASP calculation (GGA-PBE) on an optimized crystal structure of Tb12Nd6Er.

Values from the calculation:
The crystal system is trigonal. As for the spin magnetization: 0.00 Bohr magnetons per cell. As for the space group: R-3m. The density of states at the Fermi level comes out at 29.39 states/eV/f.u.

```
data_Tb12Nd6Er
_cell_length_a 8.7293
_cell_length_b 8.7293
_cell_length_c 8.7293
_cell_angle_alpha 79.43
_cell_angle_beta 79.43
_cell_angle_gamma 79.43
_symmetry_space_group_name_H-M 'P 1'
_symmetry_Int_Tables_number 1
_symmetry_space_group_name_Hall 'P 1'
loop_
_atom_site_label
_atom_site_type_symbol
_atom_site_fract_x
_atom_site_fract_y
_atom_site_fract_z
Tb1 Tb 0.1961 0.5141 0.5142
Tb2 Tb 0.1365 0.1366 0.4882
Tb3 Tb 0.8635 0.8634 0.5118
Tb4 Tb 0.8634 0.5118 0.8635
Tb5 Tb 0.5118 0.8635 0.8634
Tb6 Tb 0.1366 0.4882 0.1365
Tb7 Tb 0.5142 0.1961 0.5141
Tb8 Tb 0.4858 0.8039 0.4859
Tb9 Tb 0.5141 0.5142 0.1961
Tb10 Tb 0.4859 0.4858 0.8039
Tb11 Tb 0.8039 0.4859 0.4858
Tb12 Tb 0.4882 0.1365 0.1366
Nd1 Nd 0.2323 0.2322 0.8378
Nd2 Nd 0.2322 0.8378 0.2323
Nd3 Nd 0.1622 0.7677 0.7678
Nd4 Nd 0.8378 0.2323 0.2322
Nd5 Nd 0.7677 0.7678 0.1622
Nd6 Nd 0.7678 0.1622 0.7677
Er1 Er 0.0000 0.0000 0.0000
```


#Q
VASP calculation (GGA-PBE) on an optimized crystal structure of Tb12Nd6Er.

Values from the calculation:
The crystal system is trigonal. As for the spin magnetization: 0.00 Bohr magnetons per cell. As for the space group: R-3m. The density of states at the Fermi level comes out at 26.73 states/eV/f.u.

```
data_Tb12Nd6Er
_cell_length_a 10.0230
_cell_length_b 10.0230
_cell_length_c 10.0230
_cell_angle_alpha 112.87
_cell_angle_beta 112.87
_cell_angle_gamma 112.87
_symmetry_space_group_name_H-M 'P 1'
_symmetry_Int_Tables_number 1
_symmetry_space_group_name_Hall 'P 1'
loop_
_atom_site_label
_atom_site_type_symbol
_atom_site_fract_x
_atom_site_fract_y
_atom_site_fract_z
Tb1 Tb 0.7685 0.7685 0.0927
Tb2 Tb 0.8815 0.5000 0.1185
Tb3 Tb 0.2315 0.2315 0.9073
Tb4 Tb 0.1185 0.5000 0.8815
Tb5 Tb 0.5000 0.8815 0.1185
Tb6 Tb 0.9073 0.2315 0.2315
Tb7 Tb 0.2315 0.9073 0.2315
Tb8 Tb 0.8815 0.1185 0.5000
Tb9 Tb 0.5000 0.1185 0.8815
Tb10 Tb 0.1185 0.8815 0.5000
Tb11 Tb 0.7685 0.0927 0.7685
Tb12 Tb 0.0927 0.7685 0.7685
Nd1 Nd 0.3768 0.6836 0.6836
Nd2 Nd 0.3164 0.3164 0.6232
Nd3 Nd 0.6836 0.3768 0.6836
Nd4 Nd 0.6232 0.3164 0.3164
Nd5 Nd 0.6836 0.6836 0.3768
Nd6 Nd 0.3164 0.6232 0.3164
Er1 Er 0.0000 0.0000 0.0000
```


Most favorable first, least favorable last: #P, #Q


#P
VASP calculation (GGA-PBE) on an optimized crystal structure of TbNd3Er.

Values from the calculation:
The crystal system is monoclinic. As for the spin magnetization: 0.00 Bohr magnetons per cell. As for the space group: C2/c. The density of states at the Fermi level comes out at 7.32 states/eV/f.u.

```
data_TbNd3Er
_cell_length_a 6.8810
_cell_length_b 10.6729
_cell_length_c 10.6729
_cell_angle_alpha 105.76
_cell_angle_beta 75.81
_cell_angle_gamma 75.81
_symmetry_space_group_name_H-M 'P 1'
_symmetry_Int_Tables_number 1
_symmetry_space_group_name_Hall 'P 1'
loop_
_atom_site_label
_atom_site_type_symbol
_atom_site_fract_x
_atom_site_fract_y
_atom_site_fract_z
Nd1 Nd 0.0877 0.6477 0.9832
Nd2 Nd 0.9553 0.9633 0.2556
Nd3 Nd 0.5877 0.9832 0.6477
Nd4 Nd 0.4151 0.6853 0.6508
Nd5 Nd 0.5447 0.7444 0.0367
Nd6 Nd 0.4123 0.0168 0.3523
Nd7 Nd 0.0849 0.3492 0.3147
Nd8 Nd 0.4553 0.2556 0.9633
Nd9 Nd 0.5849 0.3147 0.3492
Nd10 Nd 0.0447 0.0367 0.7444
Nd11 Nd 0.9123 0.3523 0.0168
Nd12 Nd 0.9151 0.6508 0.6853
Tb1 Tb 0.7500 0.9895 0.0105
Tb2 Tb 0.2500 0.3204 0.6796
Tb3 Tb 0.2500 0.0105 0.9895
Tb4 Tb 0.7500 0.6796 0.3204
Er1 Er 0.1223 0.8100 0.4531
Er2 Er 0.6223 0.4531 0.8100
Er3 Er 0.3777 0.5469 0.1900
Er4 Er 0.8777 0.1900 0.5469
```


#Q
VASP calculation (GGA-PBE) on an optimized crystal structure of TbNd3Er.

Values from the calculation:
The crystal system is orthorhombic. As for the spin magnetization: 0.00 Bohr magnetons per cell. As for the space group: Pnma. The density of states at the Fermi level comes out at 6.60 states/eV/f.u.

```
data_TbNd3Er
_cell_length_a 3.6364
_cell_length_b 7.2274
_cell_length_c 25.5444
_cell_angle_alpha 90.00
_cell_angle_beta 90.00
_cell_angle_gamma 90.00
_symmetry_space_group_name_H-M 'P 1'
_symmetry_Int_Tables_number 1
_symmetry_space_group_name_Hall 'P 1'
loop_
_atom_site_label
_atom_site_type_symbol
_atom_site_fract_x
_atom_site_fract_y
_atom_site_fract_z
Nd1 Nd 0.2500 0.8699 0.7502
Nd2 Nd 0.7500 0.1183 0.6485
Nd3 Nd 0.7500 0.6301 0.2502
Nd4 Nd 0.7500 0.1277 0.0493
Nd5 Nd 0.7500 0.1301 0.2498
Nd6 Nd 0.7500 0.6277 0.4507
Nd7 Nd 0.7500 0.6183 0.8515
Nd8 Nd 0.2500 0.8817 0.3515
Nd9 Nd 0.2500 0.3723 0.5493
Nd10 Nd 0.2500 0.8723 0.9507
Nd11 Nd 0.2500 0.3817 0.1485
Nd12 Nd 0.2500 0.3699 0.7498
Tb1 Tb 0.7500 0.1236 0.8517
Tb2 Tb 0.7500 0.6236 0.6483
Tb3 Tb 0.2500 0.3764 0.3517
Tb4 Tb 0.2500 0.8764 0.1483
Er1 Er 0.2500 0.8743 0.5491
Er2 Er 0.2500 0.3743 0.9509
Er3 Er 0.7500 0.6257 0.0491
Er4 Er 0.7500 0.1257 0.4509
```


Most favorable first, least favorable last: #Q, #P


#P
VASP calculation (GGA-PBE) on an optimized crystal structure of Tb2NdEr9.

Values from the calculation:
The crystal system is tetragonal. As for the spin magnetization: 0.00 Bohr magnetons per cell. As for the space group: P4/mmm. The density of states at the Fermi level comes out at 16.71 states/eV/f.u.

```
data_Tb2NdEr9
_cell_length_a 4.9910
_cell_length_b 4.9910
_cell_length_c 14.9724
_cell_angle_alpha 90.00
_cell_angle_beta 90.00
_cell_angle_gamma 90.00
_symmetry_space_group_name_H-M 'P 1'
_symmetry_Int_Tables_number 1
_symmetry_space_group_name_Hall 'P 1'
loop_
_atom_site_label
_atom_site_type_symbol
_atom_site_fract_x
_atom_site_fract_y
_atom_site_fract_z
Er1 Er 0.0000 0.5000 0.1684
Er2 Er 0.5000 0.0000 0.5000
Er3 Er 0.5000 0.5000 0.3345
Er4 Er 0.0000 0.5000 0.8316
Er5 Er 0.5000 0.5000 0.0000
Er6 Er 0.5000 0.0000 0.8316
Er7 Er 0.5000 0.0000 0.1684
Er8 Er 0.5000 0.5000 0.6655
Er9 Er 0.0000 0.5000 0.5000
Nd1 Nd 0.0000 0.0000 0.0000
Tb1 Tb 0.0000 0.0000 0.3340
Tb2 Tb 0.0000 0.0000 0.6660
```


#Q
VASP calculation (GGA-PBE) on an optimized crystal structure of Tb2NdEr9.

Values from the calculation:
The crystal system is hexagonal. As for the spin magnetization: 0.00 Bohr magnetons per cell. As for the space group: P6/mmm. The density of states at the Fermi level comes out at 17.22 states/eV/f.u.

```
data_Tb2NdEr9
_cell_length_a 3.4976
_cell_length_b 11.1517
_cell_length_c 11.1517
_cell_angle_alpha 120.00
_cell_angle_beta 90.00
_cell_angle_gamma 90.00
_symmetry_space_group_name_H-M 'P 1'
_symmetry_Int_Tables_number 1
_symmetry_space_group_name_Hall 'P 1'
loop_
_atom_site_label
_atom_site_type_symbol
_atom_site_fract_x
_atom_site_fract_y
_atom_site_fract_z
Er1 Er 0.5000 0.8221 0.1779
Er2 Er 0.5000 0.3557 0.1779
Er3 Er 0.0000 0.5000 0.0000
Er4 Er 0.5000 0.6443 0.8221
Er5 Er 0.5000 0.1779 0.8221
Er6 Er 0.5000 0.1779 0.3557
Er7 Er 0.5000 0.8221 0.6443
Er8 Er 0.0000 0.5000 0.5000
Er9 Er 0.0000 0.0000 0.5000
Nd1 Nd 0.0000 0.0000 0.0000
Tb1 Tb 0.0000 0.6667 0.3333
Tb2 Tb 0.0000 0.3333 0.6667
```


Most favorable first, least favorable last: #P, #Q


#P
VASP calculation (GGA-PBE) on an optimized crystal structure of Tb3Nd7Er.

Values from the calculation:
The crystal system is monoclinic. As for the spin magnetization: 0.00 Bohr magnetons per cell. As for the space group: C2/m. The density of states at the Fermi level comes out at 15.06 states/eV/f.u.

```
data_Tb3Nd7Er
_cell_length_a 5.9287
_cell_length_b 8.5877
_cell_length_c 8.5877
_cell_angle_alpha 82.99
_cell_angle_beta 110.20
_cell_angle_gamma 110.20
_symmetry_space_group_name_H-M 'P 1'
_symmetry_Int_Tables_number 1
_symmetry_space_group_name_Hall 'P 1'
loop_
_atom_site_label
_atom_site_type_symbol
_atom_site_fract_x
_atom_site_fract_y
_atom_site_fract_z
Tb1 Tb 0.5000 0.0000 0.0000
Tb2 Tb 0.0000 0.7948 0.2052
Tb3 Tb 0.0000 0.2052 0.7948
Nd1 Nd 0.7887 0.7901 0.7901
Nd2 Nd 0.6932 0.9832 0.4026
Nd3 Nd 0.3068 0.0168 0.5974
Nd4 Nd 0.2113 0.2099 0.2099
Nd5 Nd 0.0000 0.5000 0.5000
Nd6 Nd 0.3068 0.5974 0.0168
Nd7 Nd 0.6932 0.4026 0.9832
Er1 Er 0.5000 0.5000 0.5000
```


#Q
VASP calculation (GGA-PBE) on an optimized crystal structure of Tb3Nd7Er.

Values from the calculation:
The crystal system is triclinic. As for the spin magnetization: 0.00 Bohr magnetons per cell. As for the space group: P-1. The density of states at the Fermi level comes out at 16.78 states/eV/f.u.

```
data_Tb3Nd7Er
_cell_length_a 10.3345
_cell_length_b 10.3366
_cell_length_c 12.6549
_cell_angle_alpha 114.74
_cell_angle_beta 65.24
_cell_angle_gamma 139.24
_symmetry_space_group_name_H-M 'P 1'
_symmetry_Int_Tables_number 1
_symmetry_space_group_name_Hall 'P 1'
loop_
_atom_site_label
_atom_site_type_symbol
_atom_site_fract_x
_atom_site_fract_y
_atom_site_fract_z
Nd1 Nd 0.9118 0.5802 0.4751
Nd2 Nd 0.5812 0.9164 0.5279
Nd3 Nd 0.5805 0.9120 0.0248
Nd4 Nd 0.0882 0.4198 0.5249
Nd5 Nd 0.8441 0.1628 0.2735
Nd6 Nd 0.9163 0.5811 0.9720
Nd7 Nd 0.1559 0.8372 0.7265
Nd8 Nd 0.7126 0.7125 0.2500
Nd9 Nd 0.4195 0.0880 0.9752
Nd10 Nd 0.2874 0.2875 0.7500
Nd11 Nd 0.0837 0.4189 0.0280
Nd12 Nd 0.1624 0.8434 0.2266
Nd13 Nd 0.4188 0.0836 0.4721
Nd14 Nd 0.8376 0.1567 0.7734
Er1 Er 0.5000 0.5000 0.0000
Er2 Er 0.5000 0.5000 0.5000
Tb1 Tb 0.0000 0.0000 0.0000
Tb2 Tb 0.6714 0.3308 0.2266
Tb3 Tb 0.0000 0.0000 0.5000
Tb4 Tb 0.3286 0.6692 0.7734
Tb5 Tb 0.6686 0.3281 0.7266
Tb6 Tb 0.3314 0.6719 0.2734
```


Most favorable first, least favorable last: #Q, #P


#P
VASP calculation (GGA-PBE) on an optimized crystal structure of Tb6NdEr.

Values from the calculation:
The crystal system is monoclinic. As for the spin magnetization: 0.00 Bohr magnetons per cell. As for the space group: C2/m. The density of states at the Fermi level comes out at 11.27 states/eV/f.u.

```
data_Tb6NdEr
_cell_length_a 6.0660
_cell_length_b 6.0660
_cell_length_c 9.4047
_cell_angle_alpha 86.85
_cell_angle_beta 117.82
_cell_angle_gamma 111.19
_symmetry_space_group_name_H-M 'P 1'
_symmetry_Int_Tables_number 1
_symmetry_space_group_name_Hall 'P 1'
loop_
_atom_site_label
_atom_site_type_symbol
_atom_site_fract_x
_atom_site_fract_y
_atom_site_fract_z
Tb1 Tb 0.3694 0.4579 0.3024
Tb2 Tb 0.8445 0.9330 0.3024
Tb3 Tb 0.6306 0.5421 0.6976
Tb4 Tb 0.2964 0.6277 0.9241
Tb5 Tb 0.7036 0.3723 0.0759
Tb6 Tb 0.1555 0.0670 0.6976
Nd1 Nd 0.0000 0.0000 0.0000
Er1 Er 0.5000 0.0000 0.5000
```


#Q
VASP calculation (GGA-PBE) on an optimized crystal structure of Tb6NdEr.

Values from the calculation:
The crystal system is tetragonal. As for the spin magnetization: 0.00 Bohr magnetons per cell. As for the space group: P4/mmm. The density of states at the Fermi level comes out at 12.91 states/eV/f.u.

```
data_Tb6NdEr
_cell_length_a 5.0487
_cell_length_b 5.0487
_cell_length_c 10.0890
_cell_angle_alpha 90.00
_cell_angle_beta 90.00
_cell_angle_gamma 90.00
_symmetry_space_group_name_H-M 'P 1'
_symmetry_Int_Tables_number 1
_symmetry_space_group_name_Hall 'P 1'
loop_
_atom_site_label
_atom_site_type_symbol
_atom_site_fract_x
_atom_site_fract_y
_atom_site_fract_z
Nd1 Nd 0.0000 0.0000 0.0000
Tb1 Tb 0.5000 0.0000 0.7473
Tb2 Tb 0.5000 0.0000 0.2527
Tb3 Tb 0.5000 0.5000 0.5000
Tb4 Tb 0.0000 0.5000 0.7473
Tb5 Tb 0.0000 0.5000 0.2527
Tb6 Tb 0.5000 0.5000 0.0000
Er1 Er 0.0000 0.0000 0.5000
```


Most favorable first, least favorable last: #Q, #P


#P
VASP calculation (GGA-PBE) on an optimized crystal structure of TbNd12Er6.

Values from the calculation:
The crystal system is trigonal. As for the spin magnetization: 0.00 Bohr magnetons per cell. As for the space group: R-3. The density of states at the Fermi level comes out at 26.09 states/eV/f.u.

```
data_TbNd12Er6
_cell_length_a 9.5712
_cell_length_b 9.5712
_cell_length_c 9.5712
_cell_angle_alpha 110.90
_cell_angle_beta 110.90
_cell_angle_gamma 110.90
_symmetry_space_group_name_H-M 'P 1'
_symmetry_Int_Tables_number 1
_symmetry_space_group_name_Hall 'P 1'
loop_
_atom_site_label
_atom_site_type_symbol
_atom_site_fract_x
_atom_site_fract_y
_atom_site_fract_z
Nd1 Nd 0.8956 0.8427 0.2628
Nd2 Nd 0.9432 0.4199 0.6283
Nd3 Nd 0.7372 0.1044 0.1573
Nd4 Nd 0.0568 0.5801 0.3717
Nd5 Nd 0.5801 0.3717 0.0568
Nd6 Nd 0.3717 0.0568 0.5801
Nd7 Nd 0.8427 0.2628 0.8956
Nd8 Nd 0.4199 0.6283 0.9432
Nd9 Nd 0.1573 0.7372 0.1044
Nd10 Nd 0.2628 0.8956 0.8427
Nd11 Nd 0.1044 0.1573 0.7372
Nd12 Nd 0.6283 0.9432 0.4199
Er1 Er 0.7859 0.6825 0.5281
Er2 Er 0.5281 0.7859 0.6825
Er3 Er 0.4719 0.2141 0.3175
Er4 Er 0.3175 0.4719 0.2141
Er5 Er 0.2141 0.3175 0.4719
Er6 Er 0.6825 0.5281 0.7859
Tb1 Tb 0.0000 0.0000 0.0000
```


#Q
VASP calculation (GGA-PBE) on an optimized crystal structure of TbNd12Er6.

Values from the calculation:
The crystal system is trigonal. As for the spin magnetization: 0.00 Bohr magnetons per cell. As for the space group: R-3. The density of states at the Fermi level comes out at 32.40 states/eV/f.u.

```
data_TbNd12Er6
_cell_length_a 8.6704
_cell_length_b 8.6704
_cell_length_c 8.6704
_cell_angle_alpha 88.89
_cell_angle_beta 88.89
_cell_angle_gamma 88.89
_symmetry_space_group_name_H-M 'P 1'
_symmetry_Int_Tables_number 1
_symmetry_space_group_name_Hall 'P 1'
loop_
_atom_site_label
_atom_site_type_symbol
_atom_site_fract_x
_atom_site_fract_y
_atom_site_fract_z
Nd1 Nd 0.5363 0.4333 0.7817
Nd2 Nd 0.2183 0.4637 0.5667
Nd3 Nd 0.7817 0.5363 0.4333
Nd4 Nd 0.0177 0.1940 0.3634
Nd5 Nd 0.5667 0.2183 0.4637
Nd6 Nd 0.8060 0.6366 0.9823
Nd7 Nd 0.1940 0.3634 0.0177
Nd8 Nd 0.6366 0.9823 0.8060
Nd9 Nd 0.4333 0.7817 0.5363
Nd10 Nd 0.9823 0.8060 0.6366
Nd11 Nd 0.3634 0.0177 0.1940
Nd12 Nd 0.4637 0.5667 0.2183
Er1 Er 0.7036 0.2587 0.0998
Er2 Er 0.2964 0.7413 0.9002
Er3 Er 0.7413 0.9002 0.2964
Er4 Er 0.9002 0.2964 0.7413
Er5 Er 0.2587 0.0998 0.7036
Er6 Er 0.0998 0.7036 0.2587
Tb1 Tb 0.0000 0.0000 0.0000
```


Most favorable first, least favorable last: #P, #Q